The following is a PBE-GGA calculation of a relaxed Tl2NiCl crystal, from Alexandria via LeMat-Bulk.

Computed properties:
The distance to the lowest polymorph of the same formula is 0.00 eV/f.u. The calculation puts the uncorrected formation energy at -0.13 eV per atom.

abc: 3.6770 3.6770 7.7345
angles: 90.00 90.00 90.00
With the nearest neighbours (Å) after each atom.
Atoms (fractional coordinates):
1 Tl 0.0000 0.0000 0.0000  4 Ni 2.63
2 Tl 0.5000 0.5000 0.4002  1 Ni 2.67
3 Ni 0.5000 0.5000 0.0551  5 Tl 2.63-2.67
4 Cl 0.0000 0.0000 0.6080  5 Tl 3.03-3.06

The following is a PBE-GGA calculation of a relaxed Ba6Ga2Sn crystal, from Alexandria via LeMat-Bulk.

Computed properties:
As for the formation energy: -0.324 eV per atom.

abc: 10.1356 10.1356 10.1356
angles: 114.21 108.40 105.92
With the nearest neighbours (Å) after each atom.
Atoms (fractional coordinates):
1 Ba 0.0610 0.2460 0.8149  1 Ga 3.47, 2 Sn 3.72-3.80
2 Ba 0.1773 0.2723 0.4497  3 Ga 3.51-3.52, 1 Sn 3.66
3 Ba 0.1773 0.7277 0.9050  3 Ga 3.51-3.52, 1 Sn 3.66
4 Ba 0.3379 0.0238 0.6859  3 Ga 3.48-3.49
5 Ba 0.3379 0.6520 0.3141  3 Ga 3.48-3.49
6 Ba 0.4311 0.2460 0.1851  1 Ga 3.47, 2 Sn 3.72-3.80
7 Ba 0.5689 0.7540 0.8149  1 Ga 3.47, 2 Sn 3.72-3.80
8 Ba 0.6621 0.3480 0.6859  3 Ga 3.48-3.49
9 Ba 0.6621 0.9762 0.3141  3 Ga 3.48-3.49
10 Ba 0.8227 0.2723 0.0950  3 Ga 3.51-3.52, 1 Sn 3.66
11 Ba 0.8227 0.7277 0.5503  3 Ga 3.51-3.52, 1 Sn 3.66
12 Ba 0.9390 0.7540 0.1851  1 Ga 3.47, 2 Sn 3.72-3.80
13 Ga 0.1062 0.6062 0.5000  1 Ga 2.59
14 Ga 0.3319 0.0000 0.3319  8 Ba 3.47-3.51
15 Ga 0.6681 0.0000 0.6681  8 Ba 3.47-3.51
16 Ga 0.8938 0.3938 0.5000  1 Ga 2.59
17 Sn 0.0000 0.0000 0.0000  8 Ba 3.66-3.72, 2 Ga 3.94
18 Sn 0.5000 0.5000 0.0000  8 Ba 3.80-3.98

The following is a PBE-GGA calculation of a relaxed TlNiW4 crystal, from Alexandria via LeMat-Bulk.

Computed properties:
As for the formation energy: 0.892 eV per atom.

abc: 5.3263 5.3263 5.3263
angles: 60.00 60.00 60.00
With the nearest neighbours (Å) after each atom.
Atoms (fractional coordinates):
1 Tl 0.0000 0.0000 0.0000  12 W 3.12, 4 Ni 3.26
2 Ni 0.7500 0.7500 0.7500  12 W 3.12, 4 Tl 3.26
3 W 0.3754 0.3754 0.3754  6 W 2.65-2.67
4 W 0.3754 0.3754 0.8738  6 W 2.65-2.67
5 W 0.3754 0.8738 0.3754  6 W 2.65-2.67
6 W 0.8738 0.3754 0.3754  6 W 2.65-2.67

The following is a PBE-GGA calculation of a relaxed Dy3CdPt8 crystal, from Alexandria via LeMat-Bulk.

Computed properties:
As for the formation energy: -0.982 eV per atom.

abc: 9.3900 9.3900 9.3900
angles: 33.52 33.52 33.52
With the nearest neighbours (Å) after each atom.
Atoms (fractional coordinates):
1 Dy 0.0000 0.0000 0.0000  12 Pt 3.07-3.28, 3 Cd 3.24, 1 Dy 3.41
2 Dy 0.1283 0.1283 0.1283  12 Pt 3.13-3.21, 4 Dy 3.41
3 Dy 0.5131 0.5131 0.5131  12 Pt 3.07-3.32, 1 Cd 3.23, 3 Dy 3.41
4 Cd 0.6346 0.6346 0.6346  12 Pt 3.12-3.24, 4 Dy 3.23-3.24
5 Pt 0.0688 0.0688 0.5646  6 Pt 2.68-2.73
6 Pt 0.0688 0.5646 0.0688  6 Pt 2.68-2.73
7 Pt 0.0703 0.5691 0.5691  6 Pt 2.69-2.73
8 Pt 0.3183 0.3183 0.3183  6 Pt 2.72-2.73
9 Pt 0.5646 0.0688 0.0688  6 Pt 2.68-2.73
10 Pt 0.5691 0.0703 0.5691  6 Pt 2.69-2.73
11 Pt 0.5691 0.5691 0.0703  6 Pt 2.69-2.73
12 Pt 0.8183 0.8183 0.8183  6 Pt 2.69-2.70

The following is a PBE-GGA calculation of a relaxed NaTa3C crystal, from Alexandria via LeMat-Bulk.

Computed properties:
As for the formation energy: 0.406 eV per atom. The distance to the lowest polymorph of the same formula is 0.00 eV/f.u.

abc: 4.3672 4.3672 4.3672
angles: 90.00 90.00 90.00
With the nearest neighbours (Å) after each atom.
Atoms (fractional coordinates):
1 Na 0.0000 0.0000 0.0000  12 Ta 3.09
2 Ta 0.0000 0.5000 0.5000  2 C 2.18
3 Ta 0.5000 0.0000 0.5000  2 C 2.18
4 Ta 0.5000 0.5000 0.0000  2 C 2.18
5 C 0.5000 0.5000 0.5000  6 Ta 2.18

The following is a PBE-GGA calculation of a relaxed Li2HfZrS crystal, from Alexandria via LeMat-Bulk.

Computed properties:
The calculation puts the uncorrected formation energy at 0.73 eV per atom.

abc: 4.7419 4.7419 4.7271
angles: 90.00 90.00 90.00
With the nearest neighbours (Å) after each atom.
Atoms (fractional coordinates):
1 Li 0.0000 0.5000 0.0000  2 Zr 2.37
2 Li 0.5000 0.0000 0.0000  2 Zr 2.37
3 Hf 0.0000 0.0000 0.5000  8 Li 3.35, 4 S 3.35
4 Zr 0.5000 0.5000 0.0000  2 S 2.36, 4 Li 2.37
5 S 0.5000 0.5000 0.5000  2 Zr 2.36

The following is a PBE-GGA calculation of a relaxed HoNb4Ru5 crystal, from Alexandria via LeMat-Bulk.

Computed properties:
As for the formation energy: -0.264 eV per atom.

abc: 3.1369 3.1369 17.0626
angles: 90.00 90.00 90.00
With the nearest neighbours (Å) after each atom.
Atoms (fractional coordinates):
1 Ho 0.0000 0.0000 0.0000  8 Ru 3.02, 4 Ho 3.14
2 Nb 0.0000 0.0000 0.2068  8 Ru 2.67-2.82
3 Nb 0.0000 0.0000 0.4023  8 Ru 2.74-2.77
4 Nb 0.0000 0.0000 0.5977  8 Ru 2.74-2.77
5 Nb 0.0000 0.0000 0.7932  8 Ru 2.67-2.82
6 Ru 0.5000 0.5000 0.1199  4 Nb 2.67
7 Ru 0.5000 0.5000 0.3084  8 Nb 2.74-2.82
8 Ru 0.5000 0.5000 0.5000  8 Nb 2.77
9 Ru 0.5000 0.5000 0.6916  8 Nb 2.74-2.82
10 Ru 0.5000 0.5000 0.8801  4 Nb 2.67

The following is a PBE-GGA calculation of a relaxed La12Pd5Pb crystal, from Alexandria via LeMat-Bulk.

Computed properties:
As for the formation energy: -0.528 eV per atom.

abc: 8.9876 8.9876 8.9876
angles: 113.30 110.15 105.07
With the nearest neighbours (Å) after each atom.
Atoms (fractional coordinates):
1 La 0.0310 0.2171 0.8139  2 Pd 2.94-3.05
2 La 0.1793 0.2921 0.4714  4 Pd 3.11-3.43
3 La 0.1793 0.7079 0.8872  4 Pd 3.11-3.43
4 La 0.3255 0.0211 0.6956  3 Pd 2.88-3.10
5 La 0.3255 0.6299 0.3044  3 Pd 2.88-3.10
6 La 0.4032 0.2171 0.1861  2 Pd 2.94-3.05
7 La 0.5968 0.7829 0.8139  2 Pd 2.94-3.05
8 La 0.6745 0.3701 0.6956  3 Pd 2.88-3.10
9 La 0.6745 0.9789 0.3044  3 Pd 2.88-3.10
10 La 0.8207 0.2921 0.1128  4 Pd 3.11-3.43
11 La 0.8207 0.7079 0.5286  4 Pd 3.11-3.43
12 La 0.9690 0.7829 0.1861  2 Pd 2.94-3.05
13 Pd 0.0000 0.0000 0.0000  4 La 3.05
14 Pd 0.1309 0.6309 0.5000  1 Pd 2.86, 6 La 2.88-3.11
15 Pd 0.3553 0.0000 0.3553  6 La 2.94-3.10, 1 Pd 2.98
16 Pd 0.6447 0.0000 0.6447  6 La 2.94-3.10, 1 Pd 2.98
17 Pd 0.8691 0.3691 0.5000  1 Pd 2.86, 6 La 2.88-3.11
18 Pb 0.5000 0.5000 0.0000  12 La 3.56-3.89

The following is a PBE-GGA calculation of a relaxed NdHo2Zn2Ge2 crystal, from Alexandria via LeMat-Bulk.

Computed properties:
As for the formation energy: -0.453 eV per atom.

abc: 11.4483 11.4483 11.4483
angles: 20.90 20.90 20.90
With the nearest neighbours (Å) after each atom.
Atoms (fractional coordinates):
1 Nd 0.0000 0.0000 0.0000  6 Zn 3.13, 6 Ge 3.35
2 Ho 0.1243 0.1243 0.1243  3 Ge 3.02, 3 Zn 3.23
3 Ho 0.8757 0.8757 0.8757  3 Ge 3.02, 3 Zn 3.23
4 Zn 0.3932 0.3932 0.3932  3 Ge 2.42
5 Zn 0.6068 0.6068 0.6068  3 Ge 2.42
6 Ge 0.2637 0.2637 0.2637  3 Zn 2.42
7 Ge 0.7363 0.7363 0.7363  3 Zn 2.42

The following is a PBE-GGA calculation of a relaxed Tb6Nd4Tm crystal, from Alexandria via LeMat-Bulk.

Computed properties:
As for the formation energy: 0.291 eV per atom. The distance to the lowest polymorph of the same formula is 1.45 eV/f.u.

abc: 9.7293 9.7293 9.7293
angles: 139.87 139.87 58.06
With the nearest neighbours (Å) after each atom.
Atoms (fractional coordinates):
1 Tb 0.0000 0.5000 0.5000  4 Tb 3.24, 2 Tm 3.34
2 Tb 0.0529 0.6988 0.0000  3 Tb 3.24-3.34, 3 Nd 3.40-3.49
3 Tb 0.3012 0.3012 0.3541  3 Tb 3.24-3.34, 3 Nd 3.40-3.49
4 Tb 0.5000 0.0000 0.5000  4 Tb 3.24, 2 Tm 3.34
5 Tb 0.6988 0.0529 0.0000  3 Tb 3.24-3.34, 3 Nd 3.40-3.49
6 Tb 0.9471 0.9471 0.6459  3 Tb 3.24-3.34, 3 Nd 3.40-3.49
7 Nd 0.1346 0.1346 0.6209  5 Tb 3.40-3.64, 1 Tm 3.49, 1 Nd 3.58
8 Nd 0.4863 0.8654 0.0000  5 Tb 3.40-3.64, 1 Tm 3.49, 1 Nd 3.58
9 Nd 0.5137 0.5137 0.3791  5 Tb 3.40-3.64, 1 Tm 3.49, 1 Nd 3.58
10 Nd 0.8654 0.4863 0.0000  5 Tb 3.40-3.64, 1 Tm 3.49, 1 Nd 3.58
11 Tm 0.5000 0.5000 0.0000  8 Tb 3.34-3.71, 4 Nd 3.49

| no. | raw total energy (eV/atom) |
| --- | --- |
| 1 | -3.22 |
| 2 | -2.72 |
| 3 | -9.10 |
| 4 | -6.24 |
| 5 | -8.81 |
| 6 | -4.56 |
| 7 | -9.39 |
| 8 | -5.46 |
| 9 | -4.12 |
| 10 | -4.38 |